# 1
This record from OQMD via LeMat-Bulk describes crystalline Sr2CdAu3 at its relaxed geometry. The functional is PBE.

```
data_Sr2CdAu3
_chemical_formula_sum 'Sr2 Cd1 Au3'
_space_group_name_H-M_alt 'P 1'
_space_group_IT_number 1
_cell_length_a 6.137
_cell_length_b 6.137
_cell_length_c 7.687
_cell_angle_alpha 127.49
_cell_angle_beta 127.49
_cell_angle_gamma 46.17
loop_
_space_group_symop_operation_xyz
'x,y,z'
loop_
_atom_site_label
_atom_site_fract_x
_atom_site_fract_y
_atom_site_fract_z
Cd1 0.165 0.165 0.602
Sr1 0.454 0.454 0.205
Sr2 0.542 0.542 0.799
Au1 0.161 0.161 0.206
Au2 0.834 0.834 0.800
Au3 0.843 0.843 0.388
```

---

# 2
This record from OQMD via LeMat-Bulk describes crystalline SrCdAu at its relaxed geometry. The functional is PBE.

```
data_SrCdAu
_chemical_formula_sum 'Sr2 Cd2 Au2'
_space_group_name_H-M_alt 'P 1'
_space_group_IT_number 1
_cell_length_a 6.090
_cell_length_b 6.090
_cell_length_c 7.723
_cell_angle_alpha 125.31
_cell_angle_beta 125.31
_cell_angle_gamma 46.14
loop_
_space_group_symop_operation_xyz
'x,y,z'
loop_
_atom_site_label
_atom_site_fract_x
_atom_site_fract_y
_atom_site_fract_z
Au1 0.158 0.158 0.697
Au2 0.842 0.842 0.303
Cd1 0.168 0.168 0.096
Cd2 0.832 0.832 0.904
Sr1 0.445 0.445 0.689
Sr2 0.555 0.555 0.311
```

---

# 3
This record from OQMD via LeMat-Bulk describes crystalline SrCd5Au2 at its relaxed geometry. The functional is PBE.

```
data_SrCd5Au2
_chemical_formula_sum 'Sr1 Cd5 Au2'
_space_group_name_H-M_alt 'P 1'
_space_group_IT_number 1
_cell_length_a 7.113
_cell_length_b 7.113
_cell_length_c 7.113
_cell_angle_alpha 144.68
_cell_angle_beta 106.88
_cell_angle_gamma 83.90
loop_
_space_group_symop_operation_xyz
'x,y,z'
loop_
_atom_site_label
_atom_site_fract_x
_atom_site_fract_y
_atom_site_fract_z
Cd1 0.461 0.648 0.813
Cd2 0.835 0.648 0.187
Cd3 0.500 0.000 0.500
Cd4 0.539 0.352 0.187
Cd5 0.165 0.352 0.813
Au1 0.229 0.729 0.500
Au2 0.771 0.271 0.500
Sr1 0.000 0.000 0.000
```

---

no.,electronic total energy (eV per atom)
1,-3.011
2,-2.535
3,-1.929